This record from Alexandria via LeMat-Bulk describes crystalline NiBiWF2 at its relaxed geometry. The functional is PBE+U.

Cell and atoms, written as extended XYZ:
```
5
Lattice="4.349 0.000 0.000 0.000 4.349 0.000 0.000 0.000 6.031" Properties=species:S:1:pos:R:3 pbc="T T T"
Ni 0.000 0.000 0.000
Bi 2.174 2.174 3.016
W 2.174 2.174 0.000
F 0.000 2.174 3.016
F 2.174 0.000 3.016
```

Calculated values
**Crystal system**: tetragonal
**Calculated total energy**: -3.2895 eV per atom
**Space group**: P4/mmm